No. 1
Compound: NaY2InGa
Source: Alexandria via LeMat-Bulk
Functional: PBE-GGA
Structure: relaxed

Unit cell a=5.8213 b=5.8213 c=5.1535 alpha=90.00 beta=90.00 gamma=90.00
Space group P4/mmm (No. 123)
Asymmetric unit:
Na1 0.0000 0.0000 0.0000 (multiplicity 1)
Y1 0.0000 0.5000 0.5000 (multiplicity 2)
In1 0.5000 0.5000 0.5000 (multiplicity 1)
Ga1 0.5000 0.5000 0.0000 (multiplicity 1)

Summary:
Energy of formation from the pure elements = 377 meV per atom

***

No. 2
Compound: NaCuAg
Source: Alexandria via LeMat-Bulk
Functional: PBE-GGA
Structure: relaxed

Unit cell a=2.9380 b=2.9380 c=12.7548 alpha=90.00 beta=90.00 gamma=90.00
Space group I4mm (No. 107)
Asymmetric unit:
Na1 0.0000 0.0000 0.0000 (multiplicity 2)
Cu1 0.0000 0.0000 0.3254 (multiplicity 2)
Ag1 0.0000 0.0000 0.6894 (multiplicity 2)

Summary:
Energy of formation from the pure elements = 183 meV per atom

***

No. 3
Compound: Sb2WSeI
Source: Alexandria via LeMat-Bulk
Functional: PBE-GGA
Structure: relaxed

Unit cell a=5.3487 b=5.3487 c=5.6051 alpha=90.00 beta=90.00 gamma=90.00
Space group P4/mmm (No. 123)
Asymmetric unit:
Sb1 0.0000 0.5000 0.0000 (multiplicity 2)
W1 0.0000 0.0000 0.5000 (multiplicity 1)
Se1 0.5000 0.5000 0.0000 (multiplicity 1)
I1 0.5000 0.5000 0.5000 (multiplicity 1)

Summary:
Formation energy without anion corrections = 1636 meV/atom

***

No. 4
Compound: CeTmS3
Source: Alexandria via LeMat-Bulk
Functional: PBE-GGA
Structure: relaxed

Unit cell a=16.3937 b=3.9276 c=21.2024 alpha=90.00 beta=90.00 gamma=90.00
Space group Pnma (No. 62)
Asymmetric unit:
Ce1 0.1627 0.2500 0.2468 (multiplicity 4)
Ce2 0.1703 0.7500 0.5874 (multiplicity 4)
Ce3 0.1954 0.2500 0.9222 (multiplicity 4)
Tm1 0.0557 0.7500 0.0698 (multiplicity 4)
Tm2 0.0655 0.2500 0.4211 (multiplicity 4)
Tm3 0.0958 0.2500 0.7511 (multiplicity 4)
S1 0.0386 0.7500 0.6811 (multiplicity 4)
S2 0.0452 0.2500 0.5523 (multiplicity 4)
S3 0.0538 0.7500 0.1949 (multiplicity 4)
S4 0.0607 0.7500 0.9414 (multiplicity 4)
S5 0.1468 0.7500 0.3513 (multiplicity 4)
S6 0.1601 0.2500 0.0620 (multiplicity 4)
S7 0.1775 0.7500 0.8173 (multiplicity 4)
S8 0.2095 0.2500 0.4838 (multiplicity 4)
S9 0.2311 0.2500 0.6785 (multiplicity 4)

Summary:
Formation energy without anion corrections = -2044 meV/atom